[1]
Ba2Ca8Mg: optimized geometry, GGA-PBE.

The space group is P4/mmm (No. 123) and the conventional cell measures 5.670, 5.670 and 15.552 Å, with angles of 90.00, 90.00 and 90.00 degrees. The inequivalent atoms are Ba at (0.000, 0.000, 0.191), Ca at (0.000, 0.500, 0.000), Ca at (0.000, 0.500, 0.377), Ca at (0.500, 0.500, 0.186) and Mg at (0.000, 0.000, 0.500).

As for the formation energy: 0.068 eV per atom. As for the total magnetization: 0.00 μB/f.u.

[2]
Ba7CaMg4: optimized geometry, GGA-PBE.

The space group is C2/m (No. 12) and the conventional cell measures 16.798, 6.756 and 12.234 Å, with angles of 90.00, 124.16 and 90.00 degrees. The inequivalent atoms are Ba at (0.000, 0.000, 0.000), Ba at (0.072, 0.500, 0.391), Ba at (0.205, 0.000, 0.653), Ba at (0.217, 0.500, 0.888), Ca at (0.000, 0.500, 0.000), Mg at (0.040, 0.000, 0.750) and Mg at (0.179, 0.000, 0.337).

As for the formation energy: 0.094 eV per atom. As for the total magnetization: 0.00 μB/f.u.

[3]
BaCaMg2: optimized geometry, GGA-PBE.

The space group is Pmmm (No. 47) and the conventional cell measures 4.074, 4.297 and 8.252 Å, with angles of 90.00, 90.00 and 90.00 degrees. The inequivalent atoms are Ba at (0.000, 0.000, 0.000), Ca at (0.000, 0.000, 0.500) and Mg at (0.500, 0.500, 0.286).

The value obtained for the offset from the most stable computed form is 0 meV per atom. As for the formation energy: -0.063 eV per atom. As for the total magnetization: 0.00 μB/f.u.

[4]
BaCa2Mg2: optimized geometry, GGA-PBE.

The space group is I4/mmm (No. 139) and the conventional cell measures 5.224, 5.224 and 15.054 Å, with angles of 90.00, 90.00 and 90.00 degrees. The inequivalent atoms are Ba at (0.000, 0.000, 0.000), Ca at (0.000, 0.500, 0.250) and Mg at (0.000, 0.000, 0.400).

The value obtained for the offset from the most stable computed form is 61 meV per atom. As for the formation energy: 0.040 eV per atom. As for the total magnetization: 0.00 μB/f.u.